TaPtSe2 | PBE-GGA | optimized geometry

Summary:
total magnetization: 0.0 μB/cell
formation energy (no corrections): 247 meV/atom
space group: Cmmm, No. 65
E above lowest polymorph: 62.1 kJ/mol of atoms

a = 3.0015 Å, b = 3.0015 Å, c = 8.7538 Å
α = 90.00°, β = 90.00°, γ = 111.29°
Fractional coordinates of all 4 atoms:
Pt (0.5000, 0.5000, 0.7500)
Se (0.0000, 0.0000, 0.0184)
Se (0.0000, 0.0000, 0.4816)
Ta (0.5000, 0.5000, 0.2500)